[1]
! Na4Np3CdTe8 | Alexandria via LeMat-Bulk | GGA-PBE | relaxed; values from VASP
! Formation energy (no corrections) ... -0.744 eV/atom
! Space-group type ... C2/m
! D(E_F) ... 28.88 states/eV/cell
! Volume ... 32.4 Å³/atom
&SYSTEM
  ibrav = 0, nat = 16, ntyp = 4
/
ATOMIC_SPECIES
Na 22.99 Na.upf
Np 237.00 Np.upf
Cd 112.41 Cd.upf
Te 127.60 Te.upf
CELL_PARAMETERS angstrom
-6.9440 0.4549 5.6136
2.5879 -7.8303 3.8357
5.8009 6.7906 -0.4947
ATOMIC_POSITIONS crystal
Na 0.5000 0.0000 0.0000
Na 0.5000 0.0000 0.5000
Na 0.0000 0.0000 0.0000
Na 0.0000 0.0000 0.5000
Np 0.5000 0.5000 0.0000
Np 0.5000 0.5000 0.5000
Np 0.0000 0.5000 0.5000
Cd 0.0000 0.5000 0.0000
Te 0.2433 0.7309 0.9879
Te 0.2435 0.7313 0.4870
Te 0.2556 0.2669 0.5113
Te 0.7446 0.7309 0.9879
Te 0.2554 0.2691 0.0121
Te 0.7444 0.7331 0.4887
Te 0.7565 0.2687 0.5130
Te 0.7567 0.2691 0.0121

---

[2]
! Ba7Ca3 | Alexandria via LeMat-Bulk | GGA-PBE | relaxed; values from VASP
! Formation energy ... 85.2 meV/atom
! Space-group type ... P6_3mc
! D(E_F) ... 23.30 states/eV/cell
! Volume ... 60.0 Å³/atom
&SYSTEM
  ibrav = 0, nat = 20, ntyp = 2
/
ATOMIC_SPECIES
Ba 137.33 Ba.upf
Ca 40.08 Ca.upf
CELL_PARAMETERS angstrom
8.0203 0.0000 0.0000
0.0000 13.1432 0.0000
0.0000 -6.5716 11.3823
ATOMIC_POSITIONS crystal
Ba 0.9179 0.6667 0.3333
Ba 0.4179 0.3333 0.6667
Ba 0.9156 0.8711 0.7422
Ba 0.9156 0.8711 0.1289
Ba 0.9156 0.2578 0.1289
Ba 0.4156 0.1289 0.2578
Ba 0.4156 0.1289 0.8711
Ba 0.4156 0.7422 0.8711
Ba 0.1662 0.4996 0.9993
Ba 0.1662 0.4996 0.5004
Ba 0.1662 0.0007 0.5004
Ba 0.6662 0.5004 0.0007
Ba 0.6662 0.5004 0.4996
Ba 0.6662 0.9993 0.4996
Ca 0.9149 0.2295 0.4590
Ca 0.9149 0.2295 0.7705
Ca 0.9149 0.5410 0.7705
Ca 0.4149 0.7705 0.5410
Ca 0.4149 0.7705 0.2295
Ca 0.4149 0.4590 0.2295

---

> Which of these has the lowest D(E_F)?

Ba7Ca3

---

> volume of number 1 (Na4Np3CdTe8)?

32.4 Å³/atom

---

> The highest D(E_F) belongs to which entry?

Na4Np3CdTe8

---

> Look up the volume of the second one.

60.0 Å³/atom